Below is a relaxed structure of ZnGeSe3, with properties calculated at the PBEsol level.

Summary:
Density of states at the Fermi level: 4.12 states/eV/f.u.
Size of the total moment: 0.00 μB per formula unit
Energy relative to the elements, uncorrected: 446 meV per atom
Volume: 23.741 Å³/atom

Cell: 4.9147 4.9147 4.9147 Å, 90.00 90.00 90.00°
With the nearest neighbours (Å) after each atom.
Positions (direct):
1 Ge 0.0000 0.0000 0.0000  6 Se 2.46
2 Zn 0.5000 0.5000 0.5000  12 Se 3.48
3 Se 0.0000 0.5000 0.0000  2 Ge 2.46
4 Se 0.0000 0.0000 0.5000  2 Ge 2.46
5 Se 0.5000 0.0000 0.0000  2 Ge 2.46

---

Below is a relaxed structure of PmTmMg2, with properties calculated at the PBEsol level.

Summary:
Density of states at the Fermi level: 4.21 states/eV/f.u.
Size of the total moment: 0.00 μB per formula unit
DFT total energy: -3.44 eV per atom
Volume: 26.474 Å³/atom

Cell: 5.3104 5.3104 5.3104 Å, 60.00 60.00 60.00°
With the nearest neighbours (Å) after each atom.
Positions (direct):
1 Mg 0.2500 0.2500 0.2500  4 Tm 3.25, 4 Pm 3.25
2 Mg 0.7500 0.7500 0.7500  4 Tm 3.25, 4 Pm 3.25
3 Tm 0.0000 0.0000 0.0000  8 Mg 3.25
4 Pm 0.5000 0.5000 0.5000  8 Mg 3.25

---

- What is the formula in the second record?
  PmTmMg2